Entry from Alexandria: crystalline ZnReCl2 at its relaxed geometry (PBE).

Summary:
- DFT total energy (eV per atom) = -3.404
- DOS(E_F) (states/eV per cell) = 3.79
- relative energy among the computed polymorphs (meV per atom) = 969

Unit cell a=3.6609 b=3.6609 c=11.3419 alpha=90.00 beta=90.00 gamma=90.00
Closest atoms and distances in Å follow each position.
Space group I-4m2 (No. 119)
Asymmetric unit:
Zn: 0.0000 0.0000 0.0000  4 Cl 2.59
Re: 0.0000 0.5000 0.2500  4 Cl 2.59
Cl: 0.0000 0.0000 0.5000  4 Zn 2.59
Cl: 0.0000 0.5000 0.7500  4 Re 2.59